Sr2LuO4: relaxed, PBE-GGA.

a = 7.003 Å, b = 7.003 Å, c = 7.003 Å
α = 120.00°, β = 90.01°, γ = 120.00°
Last column: magnetic moment on the atom in μB.
Fractional positions:
Lu 0.000 0.000 0.000  -0.01
Lu 0.750 0.500 0.250  -0.01
O 0.123 0.247 0.370  0.20
O 0.120 0.747 0.373  0.21
O 0.627 0.253 0.373  0.20
O 0.627 0.747 0.373  0.21
O 0.123 0.753 0.877  0.21
O 0.123 0.247 0.877  0.20
O 0.630 0.753 0.877  0.21
O 0.627 0.253 0.880  0.20
Sr 0.375 0.750 0.125  0.00
Sr 0.375 0.250 0.625  0.00
Sr 0.375 0.750 0.625  0.00
Sr 0.875 0.250 0.625  0.00

Results
Its symmetry is Fd-3m, No. 227. For the uncorrected energy, the calculation gives -92.71 eV per cell.